Record 1
First-principles (GGA-PBE) data for a relaxed Tc2SbRh crystal, as listed in the Alexandria database.

Formation energy without anion corrections   1.0103 eV per atom
DFT total energy   -112.66 eV per cell

Cell lengths 5.7898, 5.7898, 11.3340 Å; angles 90.00, 90.00, 90.00 degrees
With the nearest neighbours (Å) after each atom.
Space group I-42d (No. 122)
One atom of each set of equivalent atoms:
Tc 0.2146 0.2500 0.1250  2 Rh 2.38, 2 Sb 2.61
Sb 0.0000 0.0000 0.5000  4 Tc 2.61
Rh 0.0000 0.0000 0.0000  4 Tc 2.38

***

Record 2
First-principles (GGA-PBE) data for a relaxed TcSbRh2 crystal, as listed in the Alexandria database.

Formation energy without anion corrections   0.0346 eV per atom
DFT total energy   -58.11 eV per cell

Cell lengths 5.5565, 7.8498, 2.8981 Å; angles 90.00, 90.00, 90.00 degrees
With the nearest neighbours (Å) after each atom.
Space group Cmmm (No. 65)
One atom of each set of equivalent atoms:
Tc 0.0000 0.0000 0.0000  2 Sb 2.78, 8 Rh 2.81, 2 Tc 2.90
Sb 0.0000 0.5000 0.0000  2 Tc 2.78, 8 Rh 2.81, 2 Sb 2.90
Rh 0.2500 0.2500 0.5000  4 Rh 2.78-2.90, 4 Tc 2.81, 4 Sb 2.81

***

Record 3
First-principles (GGA-PBE) data for a relaxed Tc2Sb2Rh crystal, as listed in the Alexandria database.

Formation energy without anion corrections   0.4178 eV per atom
DFT total energy   -68.48 eV per cell

Cell lengths 3.4689, 3.4689, 16.1728 Å; angles 90.00, 90.00, 90.00 degrees
With the nearest neighbours (Å) after each atom.
Space group I4/mmm (No. 139)
One atom of each set of equivalent atoms:
Tc 0.0000 0.5000 0.2500  4 Tc 2.45
Sb 0.0000 0.0000 0.1024  4 Tc 2.95, 4 Rh 2.96
Rh 0.0000 0.0000 0.5000  8 Sb 2.96

***

Record 4
First-principles (GGA-PBE) data for a relaxed TcSbRh2 crystal, as listed in the Alexandria database.

Formation energy without anion corrections   -0.0106 eV per atom
DFT total energy   -29.23 eV per cell

Cell lengths 3.9751, 3.9751, 4.0069 Å; angles 90.00, 90.00, 90.00 degrees
With the nearest neighbours (Å) after each atom.
Space group P4/mmm (No. 123)
One atom of each set of equivalent atoms:
Tc 0.0000 0.0000 0.0000  4 Sb 2.81, 8 Rh 2.82
Sb 0.5000 0.5000 0.0000  4 Tc 2.81, 8 Rh 2.82
Rh 0.0000 0.5000 0.5000  4 Rh 2.81, 4 Tc 2.82, 4 Sb 2.82

***

Record 5
First-principles (GGA-PBE) data for a relaxed Tc2Sb6Rh crystal, as listed in the Alexandria database.

Formation energy without anion corrections   -0.0153 eV per atom
DFT total energy   -52.96 eV per cell

Cell lengths 6.6688, 6.6688, 5.6025 Å; angles 90.00, 90.00, 120.00 degrees
With the nearest neighbours (Å) after each atom.
Space group P-31m (No. 162)
One atom of each set of equivalent atoms:
Tc 0.3333 0.6667 0.0000  6 Sb 2.66
Sb 0.0000 0.3388 0.2656  1 Rh 2.61, 2 Tc 2.66
Rh 0.0000 0.0000 0.5000  6 Sb 2.61

***

Record 6
First-principles (GGA-PBE) data for a relaxed TcSbRh2 crystal, as listed in the Alexandria database.

Formation energy without anion corrections   0.1648 eV per atom
DFT total energy   -85.60 eV per cell

Cell lengths 2.9368, 2.9368, 26.0279 Å; angles 90.00, 90.00, 120.00 degrees
With the nearest neighbours (Å) after each atom.
Space group R-3m (No. 166, hexagonal axes)
One atom of each set of equivalent atoms:
Tc 0.0000 0.0000 0.0000  6 Rh 2.72, 6 Tc 2.94
Sb 0.0000 0.0000 0.5000  6 Rh 2.78, 6 Sb 2.94
Rh 0.0000 0.0000 0.2515  3 Tc 2.72, 3 Sb 2.78, 6 Rh 2.94

***

Record 7
First-principles (GGA-PBE) data for a relaxed TcSbRh2 crystal, as listed in the Alexandria database.

Formation energy without anion corrections   0.0031 eV per atom
DFT total energy   -29.18 eV per cell

Cell lengths 2.8760, 4.4736, 4.9050 Å; angles 90.00, 90.00, 90.00 degrees
With the nearest neighbours (Å) after each atom.
Space group Pmm2 (No. 25)
One atom of each set of equivalent atoms:
Tc 0.0000 0.0000 0.0000  8 Rh 2.76-2.92, 2 Sb 2.82, 2 Tc 2.88
Sb 0.0000 0.5000 0.3500  8 Rh 2.79-2.85, 2 Tc 2.82, 2 Sb 2.88
Rh 0.5000 0.0000 0.5191  4 Rh 2.76-2.88, 4 Tc 2.76-2.92, 4 Sb 2.79
Rh 0.5000 0.5000 0.8475  4 Rh 2.76-2.88, 4 Tc 2.76, 4 Sb 2.83-2.85

***

Record 8
First-principles (GGA-PBE) data for a relaxed Tc2SbRh crystal, as listed in the Alexandria database.

Formation energy without anion corrections   0.1274 eV per atom
DFT total energy   -63.39 eV per cell

Cell lengths 3.1950, 4.5062, 8.8151 Å; angles 90.00, 90.00, 90.00 degrees
With the nearest neighbours (Å) after each atom.
Space group Imm2 (No. 44)
One atom of each set of equivalent atoms:
Tc 0.0000 0.0000 0.0000  2 Tc 2.76, 4 Sb 2.76, 4 Rh 2.89-3.01
Tc 0.0000 0.5000 0.2447  2 Sb 2.67, 2 Tc 2.76, 4 Rh 2.77
Sb 0.0000 0.0000 0.5021  2 Rh 2.58, 6 Tc 2.67-2.76
Rh 0.0000 0.5000 0.7728  2 Sb 2.58, 4 Tc 2.77

***

Record 9
First-principles (GGA-PBE) data for a relaxed Tc2SbRh crystal, as listed in the Alexandria database.

Formation energy without anion corrections   0.0875 eV per atom
DFT total energy   -63.71 eV per cell

Cell lengths 8.9842, 3.1118, 4.7778 Å; angles 90.00, 104.00, 90.00 degrees
With the nearest neighbours (Å) after each atom.
Space group Cm (No. 8)
One atom of each set of equivalent atoms:
Tc 0.0000 0.0000 0.0000  3 Tc 2.56-2.64, 2 Sb 2.79
Tc 0.2321 0.5000 0.1347  3 Tc 2.56-2.64, 2 Rh 2.71
Sb 0.4883 0.0000 0.4794  3 Rh 2.64-2.69, 6 Tc 2.79-2.93
Rh 0.2367 0.0000 0.6718  3 Sb 2.64-2.69, 5 Tc 2.71-2.95

***

Record 10
First-principles (GGA-PBE) data for a relaxed Tc2SbRh crystal, as listed in the Alexandria database.

Formation energy without anion corrections   0.1020 eV per atom
DFT total energy   -31.80 eV per cell

Cell lengths 2.9717, 3.8363, 5.6688 Å; angles 90.00, 92.36, 90.00 degrees
With the nearest neighbours (Å) after each atom.
Space group Pm (No. 6)
One atom of each set of equivalent atoms:
Tc 0.0000 0.0000 0.0000  4 Tc 2.57-2.74, 1 Sb 2.78
Tc 0.4659 0.5000 0.1894  4 Tc 2.57-2.74, 1 Rh 2.69
Sb 0.9644 0.0000 0.4901  4 Rh 2.71-2.77, 6 Tc 2.78-3.00, 2 Sb 2.97
Rh 0.4620 0.5000 0.7145  6 Tc 2.69-2.98, 4 Sb 2.71-2.77, 2 Rh 2.97

***

Record 11
First-principles (GGA-PBE) data for a relaxed Tc2SbRh crystal, as listed in the Alexandria database.

Formation energy without anion corrections   0.2801 eV per atom
DFT total energy   -31.09 eV per cell

Cell lengths 3.1238, 3.1238, 6.5273 Å; angles 90.00, 90.00, 90.00 degrees
With the nearest neighbours (Å) after each atom.
Space group P4/mmm (No. 123)
One atom of each set of equivalent atoms:
Tc 0.0000 0.0000 0.2475  4 Sb 2.74, 4 Rh 2.76
Sb 0.5000 0.5000 0.0000  8 Tc 2.74
Rh 0.5000 0.5000 0.5000  8 Tc 2.76

***

Record 12
First-principles (GGA-PBE) data for a relaxed Tc3SbRh crystal, as listed in the Alexandria database.

Formation energy without anion corrections   1.6248 eV per atom
DFT total energy   -34.45 eV per cell

Cell lengths 4.6887, 4.6887, 4.6887 Å; angles 90.00, 90.00, 90.00 degrees
With the nearest neighbours (Å) after each atom.
Space group Pm-3m (No. 221)
One atom of each set of equivalent atoms:
Tc 0.0000 0.0000 0.5000  2 Rh 2.34
Sb 0.5000 0.5000 0.5000  12 Tc 3.32
Rh 0.0000 0.0000 0.0000  6 Tc 2.34

***

Which of these has the lowest formation energy without anion corrections?
Tc2Sb6Rh

***

Which formula does entry 1 have?
Tc2SbRh

***

Please write out number 3 again, unchanged.
First-principles (GGA-PBE) data for a relaxed Tc2Sb2Rh crystal, as listed in the Alexandria database.

Formation energy without anion corrections   0.4178 eV per atom
DFT total energy   -68.48 eV per cell

Cell lengths 3.4689, 3.4689, 16.1728 Å; angles 90.00, 90.00, 90.00 degrees
With the nearest neighbours (Å) after each atom.
Space group I4/mmm (No. 139)
One atom of each set of equivalent atoms:
Tc 0.0000 0.5000 0.2500  4 Tc 2.45
Sb 0.0000 0.0000 0.1024  4 Tc 2.95, 4 Rh 2.96
Rh 0.0000 0.0000 0.5000  8 Sb 2.96

***

DFT total energy of number 10 (Tc2SbRh)?
-31.80 eV per cell